# Y3Lu4Ni2Te2 | OQMD | PBE-GGA | optimized geometry
# energy above the most stable polymorph in this dataset = 0.25 eV/f.u.
data_Y3Lu4Ni2Te2
_chemical_formula_sum 'Y6 Lu8 Ni4 Te4'
_cell_length_a 3.826
_cell_length_b 15.392
_cell_length_c 9.502
_cell_angle_alpha 90.00
_cell_angle_beta 90.00
_cell_angle_gamma 90.00
_space_group_name_H-M_alt 'I m m 2'
_space_group_IT_number 44
loop_
_space_group_symop_operation_xyz
'x,y,z'
'-x,-y,z'
'-x,y,z'
'x,-y,z'
'x+1/2,y+1/2,z+1/2'
'-x+1/2,-y+1/2,z+1/2'
'-x+1/2,y+1/2,z+1/2'
'x+1/2,-y+1/2,z+1/2'
loop_
_atom_site_label
_atom_site_type_symbol
_atom_site_fract_x
_atom_site_fract_y
_atom_site_fract_z
Y1 Y 0.000 0.000 0.000
Y2 Y 0.000 0.315 0.623
Lu1 Lu 0.000 0.133 0.420
Lu2 Lu 0.000 0.352 0.271
Ni1 Ni 0.000 0.239 0.926
Te1 Te 0.000 0.000 0.663
Te2 Te 0.000 0.500 0.769


# Y3Lu4Ni2Te2 | OQMD | PBE-GGA | optimized geometry
# energy above the most stable polymorph in this dataset = 0.00 eV/f.u.
data_Y3Lu4Ni2Te2
_chemical_formula_sum 'Y6 Lu8 Ni4 Te4'
_cell_length_a 3.844
_cell_length_b 15.451
_cell_length_c 9.416
_cell_angle_alpha 90.00
_cell_angle_beta 90.00
_cell_angle_gamma 90.00
_space_group_name_H-M_alt 'I m m 2'
_space_group_IT_number 44
loop_
_space_group_symop_operation_xyz
'x,y,z'
'-x,-y,z'
'-x,y,z'
'x,-y,z'
'x+1/2,y+1/2,z+1/2'
'-x+1/2,-y+1/2,z+1/2'
'-x+1/2,y+1/2,z+1/2'
'x+1/2,-y+1/2,z+1/2'
loop_
_atom_site_label
_atom_site_type_symbol
_atom_site_fract_x
_atom_site_fract_y
_atom_site_fract_z
Y1 Y 0.000 0.000 0.000
Y2 Y 0.000 0.352 0.265
Lu1 Lu 0.000 0.134 0.415
Lu2 Lu 0.000 0.315 0.620
Ni1 Ni 0.000 0.240 0.931
Te1 Te 0.000 0.000 0.658
Te2 Te 0.000 0.500 0.766


# Y3Lu4Ni2Te2 | OQMD | PBE-GGA | optimized geometry
# energy above the most stable polymorph in this dataset = 0.05 eV/f.u.
data_Y3Lu4Ni2Te2
_chemical_formula_sum 'Y6 Lu8 Ni4 Te4'
_cell_length_a 3.839
_cell_length_b 15.414
_cell_length_c 9.535
_cell_angle_alpha 90.00
_cell_angle_beta 90.00
_cell_angle_gamma 90.00
_space_group_name_H-M_alt 'I m m 2'
_space_group_IT_number 44
loop_
_space_group_symop_operation_xyz
'x,y,z'
'-x,-y,z'
'-x,y,z'
'x,-y,z'
'x+1/2,y+1/2,z+1/2'
'-x+1/2,-y+1/2,z+1/2'
'-x+1/2,y+1/2,z+1/2'
'x+1/2,-y+1/2,z+1/2'
loop_
_atom_site_label
_atom_site_type_symbol
_atom_site_fract_x
_atom_site_fract_y
_atom_site_fract_z
Y1 Y 0.000 0.000 0.000
Y2 Y 0.000 0.132 0.419
Lu1 Lu 0.000 0.314 0.621
Lu2 Lu 0.000 0.352 0.273
Ni1 Ni 0.000 0.234 0.930
Te1 Te 0.000 0.000 0.668
Te2 Te 0.000 0.500 0.763


# Lu2TlNi | OQMD | PBE-GGA | optimized geometry
# electronic total energy = -67.04 eV per cell
data_Lu2TlNi
_chemical_formula_sum 'Lu8 Tl4 Ni4'
_cell_length_a 7.015
_cell_length_b 7.015
_cell_length_c 7.015
_cell_angle_alpha 90.00
_cell_angle_beta 90.00
_cell_angle_gamma 90.00
_space_group_name_H-M_alt 'F -4 3 m'
_space_group_IT_number 216
_space_group_name_Hall 'F -4 2 3'
loop_
_atom_site_label
_atom_site_type_symbol
_atom_site_fract_x
_atom_site_fract_y
_atom_site_fract_z
Lu1 Lu 0.000 0.000 0.000
Lu2 Lu 0.250 0.250 0.250
Tl1 Tl 0.000 0.000 0.500
Ni1 Ni 0.250 0.250 0.750


# LuTlZnNi | OQMD | PBE-GGA | optimized geometry
# electronic total energy = -56.29 eV per cell
data_LuTlZnNi
_chemical_formula_sum 'Lu4 Tl4 Zn4 Ni4'
_cell_length_a 6.659
_cell_length_b 6.659
_cell_length_c 6.659
_cell_angle_alpha 90.00
_cell_angle_beta 90.00
_cell_angle_gamma 90.00
_space_group_name_H-M_alt 'F -4 3 m'
_space_group_IT_number 216
_space_group_name_Hall 'F -4 2 3'
loop_
_atom_site_label
_atom_site_type_symbol
_atom_site_fract_x
_atom_site_fract_y
_atom_site_fract_z
Lu1 Lu 0.000 0.000 0.000
Tl1 Tl 0.250 0.250 0.250
Zn1 Zn 0.250 0.250 0.750
Ni1 Ni 0.000 0.000 0.500


# LuZrTlNi | OQMD | PBE-GGA | optimized geometry
# electronic total energy = -80.64 eV per cell
data_LuZrTlNi
_chemical_formula_sum 'Lu4 Zr4 Tl4 Ni4'
_cell_length_a 6.897
_cell_length_b 6.897
_cell_length_c 6.897
_cell_angle_alpha 90.00
_cell_angle_beta 90.00
_cell_angle_gamma 90.00
_space_group_name_H-M_alt 'F -4 3 m'
_space_group_IT_number 216
_space_group_name_Hall 'F -4 2 3'
loop_
_atom_site_label
_atom_site_type_symbol
_atom_site_fract_x
_atom_site_fract_y
_atom_site_fract_z
Lu1 Lu 0.000 0.000 0.000
Zr1 Zr 0.250 0.250 0.750
Tl1 Tl 0.250 0.250 0.250
Ni1 Ni 0.000 0.000 0.500


# TmLu3Ni4 | OQMD | PBE-GGA | optimized geometry
# E_form = -522 meV per atom
data_TmLu3Ni4
_chemical_formula_sum 'Tm1 Lu3 Ni4'
_cell_length_a 5.321
_cell_length_b 4.059
_cell_length_c 6.867
_cell_angle_alpha 90.00
_cell_angle_beta 90.13
_cell_angle_gamma 90.00
_space_group_name_H-M_alt 'P 1 m 1'
_space_group_IT_number 6
loop_
_space_group_symop_operation_xyz
'x,y,z'
'x,-y,z'
loop_
_atom_site_label
_atom_site_type_symbol
_atom_site_fract_x
_atom_site_fract_y
_atom_site_fract_z
Tm1 Tm 0.000 0.000 0.000
Lu1 Lu 0.235 0.000 0.500
Lu2 Lu 0.500 0.500 0.141
Lu3 Lu 0.735 0.500 0.640
Ni1 Ni 0.240 0.500 0.782
Ni2 Ni 0.497 0.000 0.857
Ni3 Ni 0.738 0.000 0.359
Ni4 Ni 0.996 0.500 0.285


# TmLuNi2 | OQMD | PBE-GGA | optimized geometry
# E_form = -518 meV per atom
data_TmLuNi2
_chemical_formula_sum 'Tm2 Lu2 Ni4'
_cell_length_a 4.087
_cell_length_b 5.337
_cell_length_c 6.903
_cell_angle_alpha 90.00
_cell_angle_beta 90.00
_cell_angle_gamma 90.00
_space_group_name_H-M_alt 'P m c 21'
_space_group_IT_number 26
loop_
_space_group_symop_operation_xyz
'x,y,z'
'-x,-y,z+1/2'
'-x,y,z'
'x,-y,z+1/2'
loop_
_atom_site_label
_atom_site_type_symbol
_atom_site_fract_x
_atom_site_fract_y
_atom_site_fract_z
Tm1 Tm 0.000 0.118 0.000
Lu1 Lu 0.500 0.382 0.641
Ni1 Ni 0.000 0.379 0.358
Ni2 Ni 0.500 0.123 0.284


| no. | total magnetic moment (μB per atom) |
| --- | --- |
| 1 | 0.00 |
| 2 | 0.00 |
| 3 | 0.01 |
| 4 | 0.19 |
| 5 | 0.00 |
| 6 | 0.48 |
| 7 | 0.00 |
| 8 | 0.00 |